[1]
Rb3Ti4TlP4O20 | the Alexandria database | PBE-GGA | optimized geometry; energy relative to the elements, uncorrected = -2540 meV per atom; magnetic moment = 0.0000 μB/atom; DOS at the Fermi energy = 0.000 states/eV/cell
1.0
6.582 0.000 0.000
0.000 10.682 0.000
-0.032 0.000 13.130
Rb Ti Tl P O
6 8 2 8 40
Direct
0.185 0.000 0.104
0.283 0.751 0.383
0.308 0.001 0.606
0.692 0.501 0.394
0.717 0.251 0.617
0.815 0.500 0.896
0.004 0.570 0.629
0.239 0.319 0.753
0.262 0.320 0.254
0.496 0.570 0.128
0.504 0.070 0.872
0.738 0.820 0.746
0.761 0.819 0.247
0.996 0.070 0.371
0.223 0.755 0.877
0.777 0.255 0.123
0.003 0.562 0.181
0.163 0.314 0.500
0.337 0.314 0.001
0.498 0.562 0.680
0.502 0.062 0.320
0.663 0.814 0.999
0.837 0.814 0.500
0.997 0.062 0.819
0.019 0.426 0.514
0.036 0.192 0.485
0.041 0.176 0.749
0.044 0.433 0.721
0.044 0.448 0.252
0.048 0.186 0.276
0.187 0.031 0.885
0.192 0.590 0.115
0.201 0.335 0.904
0.203 0.294 0.097
0.296 0.292 0.597
0.301 0.336 0.405
0.309 0.590 0.614
0.312 0.033 0.385
0.450 0.185 0.778
0.459 0.176 0.249
0.459 0.432 0.221
0.459 0.446 0.750
0.463 0.191 0.986
0.482 0.425 0.015
0.518 0.925 0.985
0.537 0.691 0.014
0.541 0.676 0.751
0.541 0.932 0.779
0.541 0.946 0.250
0.550 0.685 0.222
0.688 0.533 0.615
0.691 0.090 0.386
0.699 0.836 0.595
0.704 0.792 0.403
0.797 0.794 0.903
0.799 0.835 0.096
0.808 0.090 0.885
0.813 0.531 0.115
0.952 0.686 0.724
0.956 0.933 0.279
0.956 0.948 0.748
0.959 0.676 0.251
0.964 0.692 0.515
0.981 0.926 0.486

[2]
BaAc2La | the Alexandria database | PBE-GGA | optimized geometry; ΔE_f = 0.050 eV/atom; distance to the lowest polymorph of the same formula = 0 meV per atom; magnetic moment = 0.0000 μB/atom; DOS at the Fermi energy = 6.641 states/eV/cell
1.0
3.986 0.000 0.000
0.000 3.986 0.000
0.000 0.000 11.549
Ba Ac La
1 2 1
Direct
0.000 0.000 0.000
0.500 0.500 0.277
0.500 0.500 0.723
0.000 0.000 0.500

[3]
TbCeNd2Tm4 | the Alexandria database | PBE-GGA | optimized geometry; ΔE_f = 0.043 eV/atom; magnetic moment = 0.1055 μB/atom; DOS at the Fermi energy = 12.913 states/eV/cell
1.0
6.156 0.000 0.000
0.000 3.551 0.000
-2.056 0.000 11.492
Tb Ce Nd Tm
1 1 2 4
Direct
0.000 0.000 0.000
0.000 0.500 0.500
0.500 0.000 0.500
0.500 0.500 0.000
0.246 0.000 0.748
0.246 0.500 0.250
0.754 0.000 0.252
0.754 0.500 0.750

[4]
TlGe2Pd2 | the Alexandria database | PBE-GGA | optimized geometry; ΔE_f = -0.238 eV/atom; distance to the lowest polymorph of the same formula = 0 meV per atom; magnetic moment = 0.0000 μB/atom; DOS at the Fermi energy = 1.909 states/eV/cell
1.0
-2.254 2.254 4.896
2.254 -2.254 4.896
2.254 2.254 -4.896
Tl Ge Pd
1 2 2
Direct
0.000 0.000 0.000
0.369 0.369 0.000
0.631 0.631 0.000
0.250 0.750 0.500
0.750 0.250 0.500

[5]
RuRhSe | the Alexandria database | PBE-GGA | optimized geometry; energy relative to the elements, uncorrected = 41 meV per atom; distance to the lowest polymorph of the same formula = 0 meV per atom; magnetic moment = 0.0000 μB/atom; DOS at the Fermi energy = 0.909 states/eV/cell
1.0
0.000 2.881 2.881
2.881 0.000 2.881
2.881 2.881 0.000
Ru Rh Se
1 1 1
Direct
0.000 0.000 0.000
0.500 0.500 0.500
0.250 0.250 0.250

[6]
La3Tb5Pm3 | the Alexandria database | PBE-GGA | optimized geometry; ΔE_f = 0.724 eV/atom; magnetic moment = 0.0000 μB/atom; DOS at the Fermi energy = 16.189 states/eV/cell
1.0
9.669 0.000 0.000
-4.835 8.374 0.000
0.000 0.000 5.461
La Tb Pm
3 5 3
Direct
0.000 0.638 0.000
0.362 0.362 0.000
0.638 0.000 0.000
0.000 0.273 0.000
0.273 0.000 0.000
0.333 0.667 0.000
0.667 0.333 0.000
0.727 0.727 0.000
0.000 0.490 0.500
0.490 0.000 0.500
0.510 0.510 0.500